1.
## MgZrCd2 (SCAN)

Data for a PBEsol-optimized structure of MgZrCd2.

Summary:
- D(E_F) (states/eV/atom) = 0.37
- theoretical density (g/cm3) = 7.0
- VASP energy (eV per atom) = -24.14
- magnetic moment (μB/cell) = 0.00

Cell: 4.8581 4.8581 4.8581 Å, 60.00 60.00 60.00°
Last column: nearest neighbours and their distance in Å.
Fractional coordinates of all 4 atoms:
Mg 0.0000 0.0000 0.0000  4 Zr 2.97, 4 Cd 2.97
Zr 0.7500 0.7500 0.7500  4 Cd 2.97, 4 Mg 2.97
Cd 0.2500 0.2500 0.2500  4 Cd 2.97, 4 Mg 2.97
Cd 0.5000 0.5000 0.5000  4 Zr 2.97, 4 Cd 2.97

---

2.
## AsRhBr (SCAN)

Data for a PBEsol-optimized structure of AsRhBr.

Summary:
- D(E_F) (states/eV/atom) = 0.55
- formation energy (no corrections) (meV/atom) = -345
- theoretical density (g/cm3) = 7.1
- magnetic moment (μB/cell) = 0.00

Cell: 3.6092 3.6092 5.3339 Å, 90.00 90.00 120.00°
Last column: nearest neighbours and their distance in Å.
Fractional coordinates of all 3 atoms:
As 0.0000 0.0000 0.0000  3 Rh 2.37
Rh 0.6667 0.3333 0.2129  3 As 2.37
Br 0.3333 0.6667 0.5264  3 Rh 2.67

---

3.
## Ag2SnAs2 (SCAN)

Data for a PBEsol-optimized structure of Ag2SnAs2.

Summary:
- D(E_F) (states/eV/atom) = 0.31
- theoretical density (g/cm3) = 7.8
- VASP energy (eV per atom) = -27.56
- magnetic moment (μB/cell) = 0.00

Cell: 7.0808 7.0808 7.0808 Å, 147.43 147.43 46.73°
Last column: nearest neighbours and their distance in Å.
Fractional coordinates of all 5 atoms:
Ag 0.1025 0.1025 0.0000  1 Ag 2.67, 4 As 2.76
Ag 0.8975 0.8975 0.0000  1 Ag 2.67, 4 As 2.76
Sn 0.5000 0.5000 0.0000  8 Ag 3.11
As 0.2500 0.7500 0.5000  4 Ag 2.76, 4 As 2.81
As 0.7500 0.2500 0.5000  4 Ag 2.76, 4 As 2.81

---

4.
## SrFe2OsAu (SCAN)

Data for a PBEsol-optimized structure of SrFe2OsAu.

Summary:
- D(E_F) (states/eV/atom) = 1.02
- theoretical density (g/cm3) = 9.7
- VASP energy (eV per atom) = -37.18
- magnetic moment (μB/cell) = 6.83

Cell: 4.4496 4.4496 5.0530 Å, 90.00 90.00 90.00°
Last column: nearest neighbours and their distance in Å.
Fractional coordinates of all 5 atoms:
Sr 0.0000 0.0000 0.0000  4 Fe 2.22
Fe 0.0000 0.5000 0.0000  2 Sr 2.22
Fe 0.5000 0.0000 0.0000  2 Sr 2.22
Os 0.5000 0.5000 0.5000  4 Au 3.15, 8 Fe 3.37
Au 0.0000 0.0000 0.5000  2 Sr 2.53

---

5.
## NaLa3Ir (SCAN)

Data for a PBEsol-optimized structure of NaLa3Ir.

Summary:
- D(E_F) (states/eV/atom) = 0.87
- theoretical density (g/cm3) = 6.2
- VASP energy (eV per atom) = -41.35
- magnetic moment (μB/cell) = 0.08

Cell: 9.5794 4.1456 9.6335 Å, 90.00 118.48 90.00°
Last column: nearest neighbours and their distance in Å.
Fractional coordinates of all 10 atoms:
Na 0.0964 0.2500 0.1507  2 Na 3.32, 2 La 3.68
Na 0.9036 0.7500 0.8493  2 Na 3.32, 2 La 3.68
La 0.1234 0.2500 0.6880  2 Ir 2.78
La 0.3428 0.7500 0.4982  1 Ir 2.77
La 0.4197 0.7500 0.1145  3 Ir 2.88-2.89
La 0.5803 0.2500 0.8855  3 Ir 2.88-2.89
La 0.6572 0.2500 0.5018  1 Ir 2.77
La 0.8766 0.7500 0.3120  2 Ir 2.78
Ir 0.3440 0.7500 0.7860  6 La 2.77-2.89
Ir 0.6560 0.2500 0.2140  6 La 2.77-2.89

---

6.
## MoIr3 (SCAN)

Data for a PBEsol-optimized structure of MoIr3.

Summary:
- D(E_F) (states/eV/atom) = 0.85
- theoretical density (g/cm3) = 19.5
- VASP energy (eV per atom) = -62.22
- magnetic moment (μB/cell) = 0.00

Cell: 2.7101 2.7101 7.7820 Å, 90.00 90.00 90.00°
Last column: nearest neighbours and their distance in Å.
Fractional coordinates of all 4 atoms:
Mo 0.0000 0.0000 0.0000  4 Mo 2.71, 8 Ir 2.73
Ir 0.0000 0.0000 0.5000  12 Ir 2.71-2.73
Ir 0.5000 0.5000 0.2506  8 Ir 2.71-2.73, 4 Mo 2.73
Ir 0.5000 0.5000 0.7494  8 Ir 2.71-2.73, 4 Mo 2.73